TmThRhAu | GGA-PBE | optimized geometry

Values from the calculation:
Formation energy, eV per atom: -0.742
Total magnetic moment, μB/cell: 0.00
DOS(E_F), states/eV per atom: 0.80

Geometry as CIF:
```
data_TmThRhAu
_space_group_name_H-M_alt 'F -4 3 m'
_space_group_IT_number 216
_space_group_name_Hall 'F -4 2 3'
_cell_length_a 7.154
_cell_length_b 7.154
_cell_length_c 7.154
_cell_angle_alpha 90.00
_cell_angle_beta 90.00
_cell_angle_gamma 90.00
loop_
_atom_site_label
_atom_site_type_symbol
_atom_site_fract_x
_atom_site_fract_y
_atom_site_fract_z
Tm1 Tm 0.000 0.000 0.000
Th1 Th 0.000 0.000 0.500
Rh1 Rh 0.250 0.250 0.250
Au1 Au 0.250 0.250 0.750
```

=====

Ce2DySi2Pd2 | GGA-PBE | optimized geometry

Values from the calculation:
Total magnetic moment, μB/cell: 2.98
DOS(E_F), states/eV per atom: 1.18
Formation energy from raw total energies, eV/atom: -0.80

Geometry as CIF:
```
data_Ce2DySi2Pd2
_space_group_name_H-M_alt 'R -3 m'
_space_group_IT_number 166
_space_group_name_Hall '-R 3 2"'
_cell_length_a 4.2919
_cell_length_b 4.2919
_cell_length_c 26.7898
_cell_angle_alpha 90.00
_cell_angle_beta 90.00
_cell_angle_gamma 120.00
loop_
_atom_site_label
_atom_site_type_symbol
_atom_site_fract_x
_atom_site_fract_y
_atom_site_fract_z
Ce1 Ce 0.0000 0.0000 0.1385
Dy1 Dy 0.0000 0.0000 0.0000
Si1 Si 0.0000 0.0000 0.2606
Pd1 Pd 0.0000 0.0000 0.4024
```